12
Lattice="5.285 0.000 0.000 0.000 9.884 0.000 0.000 0.000 6.769" Properties=species:S:1:pos:R:3 comment="Pr3SmAl2 PBE relaxed" formation_energy_kj_per_mol_fu=-139.6 energy_ev_per_atom=-4.66 dos_at_fermi_per_ev_fu=6.330 m_tot_mub_per_atom=0.000 pbc="T T T"
Pr 0.000 0.452 0.000
Pr 0.000 3.270 2.244
Pr 0.000 6.614 5.629
Pr 0.000 9.432 3.385
Pr 2.643 1.719 4.823
Pr 2.643 8.165 1.438
Sm 2.643 4.473 0.290
Sm 2.643 5.411 3.675
Al 0.000 3.475 5.522
Al 0.000 6.409 2.137
Al 2.643 1.494 1.557
Al 2.643 8.390 4.942